# 1
A relaxed Tb5SmTl6 crystal, computed with PBE-GGA.

Cell and atoms, written as CIF:
```
data_Tb5SmTl6
_chemical_formula_sum 'Tb10 Sm2 Tl12'
_cell_length_a 9.784
_cell_length_b 11.321
_cell_length_c 6.658
_cell_angle_alpha 90.00
_cell_angle_beta 102.69
_cell_angle_gamma 90.00
_symmetry_space_group_name_H-M 'C 1 2/m 1'
_symmetry_Int_Tables_number 12
loop_
_symmetry_equiv_pos_as_xyz
'x,y,z'
'-x,-y,-z'
'-x,y,-z'
'x,-y,z'
'x+1/2,y+1/2,z'
'-x+1/2,-y+1/2,-z'
'-x+1/2,y+1/2,-z'
'x+1/2,-y+1/2,z'
loop_
_atom_site_label
_atom_site_fract_x
_atom_site_fract_y
_atom_site_fract_z
_atom_site_occupancy
Tb1 0.000 0.000 0.000 1
Tb2 0.000 0.166 0.500 1
Tb3 0.000 0.334 0.000 1
Sm1 0.000 0.500 0.500 1
Tl1 0.249 0.000 0.754 1
Tl2 0.249 0.169 0.248 1
```

Results
Total energy in eV/atom: -3.765
Calculated formation energy in eV/atom: -0.259
D(E_F) in states/eV per cell: 21.768
Volume in Å³/cell: 719.48

# 2
A relaxed Tb12Sm3Tl crystal, computed with PBE-GGA.

Cell and atoms, written as CIF:
```
data_Tb12Sm3Tl
_chemical_formula_sum 'Tb12 Sm3 Tl1'
_cell_length_a 4.990
_cell_length_b 4.990
_cell_length_c 20.291
_cell_angle_alpha 90.00
_cell_angle_beta 90.00
_cell_angle_gamma 90.00
_symmetry_space_group_name_H-M 'P 4/m m m'
_symmetry_Int_Tables_number 123
_symmetry_space_group_name_Hall '-P 4 2'
loop_
_atom_site_label
_atom_site_fract_x
_atom_site_fract_y
_atom_site_fract_z
_atom_site_occupancy
Tb1 0.000 0.000 0.000 1
Tb2 0.000 0.000 0.244 1
Tb3 0.000 0.000 0.500 1
Tb4 0.000 0.500 0.121 1
Tb5 0.000 0.500 0.373 1
Sm1 0.500 0.500 0.248 1
Sm2 0.500 0.500 0.500 1
Tl1 0.500 0.500 0.000 1
```

Results
Total energy in eV/atom: -4.531
Calculated formation energy in eV/atom: -0.025
D(E_F) in states/eV per cell: 20.732
Volume in Å³/cell: 505.30